The following is a PBE calculation of crystalline NiPt2Rh at its relaxed geometry, from Alexandria.

a = 2.7274 Å, b = 4.4813 Å, c = 4.7074 Å
α = 90.00°, β = 90.00°, γ = 90.00°
Fractional positions:
Ni 0.0000 0.0000 0.0000
Pt 0.5000 0.0000 0.4936
Pt 0.5000 0.5000 0.8406
Rh 0.0000 0.5000 0.3332

Calculated values
E_form, eV/atom: 0.001